Entry 1:
Below is a relaxed structure of Sm3Ho4Er, with properties calculated at the PBE-GGA level.

Output
DFT formation energy in eV/atom: 0.132
E_tot in eV per atom: -4.497
Total moment in μB per formula unit: 0.0
Crystal system: orthorhombic

abc: 3.4717 11.6035 8.8456
angles: 130.96 101.32 90.00
Element x y z (fractional)
Ho1 0.6347 0.3801 0.2693
Ho2 0.3653 0.6199 0.7307
Ho3 0.3651 0.1102 0.7303
Ho4 0.6348 0.8898 0.2697
Sm1 0.0000 0.5000 0.0000
Sm2 0.7570 0.7570 0.5140
Sm3 0.2430 0.2430 0.4860
Er1 0.5000 0.0000 0.0000

Entry 2:
Below is a relaxed structure of Zr3Al, with properties calculated at the PBE-GGA level.

Output
DFT formation energy in eV/atom: -0.177
E_tot in eV per atom: -7.523
Total moment in μB per formula unit: 0.0
Crystal system: monoclinic

abc: 5.4630 5.4630 5.3241
angles: 78.19 78.19 33.54
Element x y z (fractional)
Al1 0.0000 0.0000 0.0000
Zr1 0.5000 0.5000 0.5000
Zr2 0.2624 0.2624 0.2355
Zr3 0.7376 0.7376 0.7645

Entry 3:
Below is a relaxed structure of CsFe2Re, with properties calculated at the PBE-GGA level.

Output
DFT formation energy in eV/atom: 1.727
E_tot in eV per atom: -5.830
Total moment in μB per formula unit: 0.0
Crystal system: tetragonal

abc: 7.0595 7.0595 6.1713
angles: 55.11 55.11 90.00
Element x y z (fractional)
Cs1 0.5000 0.5000 0.0000
Cs2 0.2500 0.7500 0.5000
Re1 0.0000 0.0000 0.0000
Re2 0.7500 0.2500 0.5000
Fe1 0.7175 0.1250 0.2500
Fe2 0.0325 0.6250 0.2500
Fe3 0.3750 0.2825 0.7500
Fe4 0.8750 0.9675 0.7500

Entry 4:
Below is a relaxed structure of Tm3Sc2Zn3, with properties calculated at the PBE-GGA level.

Output
DFT formation energy in eV/atom: -0.267
E_tot in eV per atom: -4.004
Total moment in μB per formula unit: 0.0
Crystal system: orthorhombic

abc: 3.4876 4.9959 10.7648
angles: 103.42 99.32 90.00
Element x y z (fractional)
Tm1 0.3780 0.3780 0.7560
Tm2 0.6220 0.6220 0.2440
Tm3 0.5000 0.0000 0.0000
Sc1 0.2684 0.7684 0.5368
Sc2 0.7316 0.2316 0.4632
Zn1 0.8790 0.8790 0.7580
Zn2 0.0000 0.5000 0.0000
Zn3 0.1210 0.1210 0.2420

Entry 5:
Below is a relaxed structure of BaB2AsPd, with properties calculated at the PBE-GGA level.

Output
DFT formation energy in eV/atom: 0.769
E_tot in eV per atom: -4.255
Total moment in μB per formula unit: 0.0
Crystal system: tetragonal

abc: 4.2878 6.2197 4.2878
angles: 90.00 90.00 90.00
Element x y z (fractional)
As1 0.5000 0.5000 0.5000
B1 0.0000 0.0000 0.5000
B2 0.5000 0.0000 0.0000
Ba1 0.0000 0.5000 0.0000
Pd1 0.0000 0.0000 0.0000

Entry 6:
Below is a relaxed structure of Tb2NdHfP4, with properties calculated at the PBE-GGA level.

Output
DFT formation energy in eV/atom: -1.486
E_tot in eV per atom: -7.188
Total moment in μB per formula unit: 0.0
Crystal system: monoclinic

abc: 3.9662 6.8873 6.8682
angles: 109.21 90.00 90.00
Element x y z (fractional)
Tb1 0.5000 0.0000 0.5000
Tb2 0.0000 0.5000 0.5000
Nd1 0.5000 0.5000 0.0000
Hf1 0.0000 0.0000 0.0000
P1 0.5000 0.2320 0.2375
P2 0.5000 0.7680 0.7625
P3 0.0000 0.2357 0.7527
P4 0.0000 0.7643 0.2473

Entry 7:
Below is a relaxed structure of Tl2Pt2Pb, with properties calculated at the PBE-GGA level.

Output
DFT formation energy in eV/atom: 0.065
E_tot in eV per atom: -4.040
Total moment in μB per formula unit: 0.0
Crystal system: tetragonal

abc: 4.3576 4.3576 7.0413
angles: 71.98 71.98 90.00
Element x y z (fractional)
Pb1 0.0000 0.0000 0.0000
Tl1 0.7500 0.2500 0.5000
Tl2 0.2500 0.7500 0.5000
Pt1 0.3960 0.3960 0.2080
Pt2 0.6040 0.6040 0.7920

Entry 8:
Below is a relaxed structure of TlCo2Pt, with properties calculated at the PBE-GGA level.

Output
DFT formation energy in eV/atom: 0.486
E_tot in eV per atom: -5.169
Total moment in μB per formula unit: 3.1
Crystal system: trigonal

abc: 8.7339 8.7339 8.7339
angles: 19.03 19.03 19.03
Last column: magnetic moment on the atom in μB.
Element x y z (fractional)
Co1 0.9957 0.9957 0.9957  1.55
Co2 0.5043 0.5043 0.5043  1.55
Pt1 0.2500 0.2500 0.2500  0.25
Tl1 0.7500 0.7500 0.7500  -0.08

- What is the formula in the fourth record?
  Tm3Sc2Zn3

- Which formula does entry 4 have?
  Tm3Sc2Zn3